Compound: AgHg2
Source: Alexandria via LeMat-Bulk
Functional: GGA-PBE
Structure: optimized geometry

Results
Uncorrected energy = -1.0693 eV/atom
Excess energy over the best structure of this formula in the dataset = 30 meV/atom

Cell: 3.255 3.255 7.264 Å, 90.00 90.00 120.00°
Fractional positions:
Ag 0.000 0.000 0.000
Hg 0.333 0.667 0.679
Hg 0.667 0.333 0.321

=====

Compound: PmTm2Pt9
Source: Alexandria via LeMat-Bulk
Functional: GGA-PBE
Structure: optimized geometry

Results
Uncorrected energy = -6.6970 eV/atom
Excess energy over the best structure of this formula in the dataset = 0 meV/atom

Cell: 4.122 4.122 12.363 Å, 90.00 90.00 90.00°
Fractional positions:
Pm 0.000 0.000 0.000
Tm 0.000 0.000 0.336
Tm 0.000 0.000 0.664
Pt 0.000 0.500 0.173
Pt 0.000 0.500 0.500
Pt 0.000 0.500 0.827
Pt 0.500 0.000 0.173
Pt 0.500 0.000 0.500
Pt 0.500 0.000 0.827
Pt 0.500 0.500 0.000
Pt 0.500 0.500 0.336
Pt 0.500 0.500 0.664

=====

Compound: Cd2TcGe
Source: Alexandria via LeMat-Bulk
Functional: GGA-PBE
Structure: optimized geometry

Results
Uncorrected energy = -3.6083 eV/atom

Cell: 6.105 6.105 6.105 Å, 100.66 100.66 129.06°
Fractional positions:
Cd 0.125 0.625 0.000
Cd 0.375 0.375 0.500
Cd 0.625 0.125 0.000
Cd 0.875 0.875 0.500
Tc 0.000 0.000 0.000
Tc 0.750 0.250 0.500
Ge 0.250 0.750 0.500
Ge 0.500 0.500 0.000

=====

Compound: MoAsOs2
Source: Alexandria via LeMat-Bulk
Functional: GGA-PBE
Structure: optimized geometry

Results
Uncorrected energy = -9.1975 eV/atom

Cell: 4.815 4.815 4.647 Å, 97.07 97.07 34.64°
Fractional positions:
Mo 0.000 0.000 0.000
As 0.242 0.242 0.788
Os 0.469 0.469 0.482
Os 0.730 0.730 0.308

=====

Compound: YGe3O
Source: Alexandria via LeMat-Bulk
Functional: GGA-PBE
Structure: optimized geometry

Results
Uncorrected energy = -5.4987 eV/atom
Excess energy over the best structure of this formula in the dataset = 0 meV/atom

Cell: 4.485 4.485 4.485 Å, 90.00 90.00 90.00°
Fractional positions:
Y 0.000 0.000 0.000
Ge 0.000 0.500 0.500
Ge 0.500 0.000 0.500
Ge 0.500 0.500 0.000
O 0.500 0.500 0.500

=====

Compound: CaTl2InBr6
Source: Alexandria via LeMat-Bulk
Functional: GGA-PBE
Structure: optimized geometry

Results
Uncorrected energy = -3.0712 eV/atom

Cell: 8.084 8.084 8.084 Å, 59.11 59.11 59.11°
Fractional positions:
Ca 0.000 0.000 0.000
Tl 0.286 0.286 0.286
Tl 0.784 0.784 0.784
In 0.501 0.501 0.501
Br 0.157 0.732 0.337
Br 0.231 0.659 0.840
Br 0.337 0.157 0.732
Br 0.659 0.840 0.231
Br 0.732 0.337 0.157
Br 0.840 0.231 0.659

=====

What is the formula in the first record? AgHg2